No. 1
! NbCdSn3 (PBE-GGA, optimized geometry); values from VASP
! **E_form**: 0.300 eV/atom
! **Total moment**: 0.00 μB per atom
! **Fermi-level density of states**: 2.9 states/eV/f.u.
! **ΔE to the lowest computed polymorph**: 0.000 eV/atom
&SYSTEM
  ibrav = 0, nat = 5, ntyp = 3
/
ATOMIC_SPECIES
Nb 92.91 Nb.upf
Cd 112.41 Cd.upf
Sn 118.71 Sn.upf
CELL_PARAMETERS angstrom
5.421 0.000 0.000
0.000 5.421 0.000
0.000 0.000 5.421
ATOMIC_POSITIONS crystal
Nb 0.000 0.000 0.000
Cd 0.500 0.500 0.500
Sn 0.000 0.000 0.500
Sn 0.000 0.500 0.000
Sn 0.500 0.000 0.000

=====

No. 2
! NbCdSnTe2 (PBE-GGA, optimized geometry); values from VASP
! **Total moment**: 0.67 μB per atom
! **Fermi-level density of states**: 3.8 states/eV/f.u.
! **Formation energy without anion corrections**: 1.065 eV/atom
&SYSTEM
  ibrav = 0, nat = 5, ntyp = 4
/
ATOMIC_SPECIES
Nb 92.91 Nb.upf
Cd 112.41 Cd.upf
Sn 118.71 Sn.upf
Te 127.60 Te.upf
CELL_PARAMETERS angstrom
5.619 0.000 0.000
0.000 5.619 0.000
0.000 0.000 5.253
ATOMIC_POSITIONS crystal
Nb 0.000 0.000 0.000
Cd 0.500 0.500 0.500
Sn 0.500 0.500 0.000
Te 0.000 0.500 0.500
Te 0.500 0.000 0.500

=====

No. 3
! SrNb2Cd (PBE-GGA, optimized geometry); values from VASP
! **E_form**: 0.883 eV/atom
! **Total moment**: 0.00 μB per atom
! **Fermi-level density of states**: 4.7 states/eV/f.u.
&SYSTEM
  ibrav = 0, nat = 16, ntyp = 3
/
ATOMIC_SPECIES
Sr 87.62 Sr.upf
Nb 92.91 Nb.upf
Cd 112.41 Cd.upf
CELL_PARAMETERS angstrom
4.205 0.000 0.000
0.000 4.205 0.000
0.000 0.000 22.155
ATOMIC_POSITIONS crystal
Sr 0.000 0.000 0.000
Sr 0.000 0.500 0.250
Sr 0.500 0.000 0.750
Sr 0.500 0.500 0.500
Nb 0.214 0.250 0.625
Nb 0.250 0.714 0.875
Nb 0.250 0.786 0.375
Nb 0.286 0.250 0.125
Nb 0.714 0.750 0.125
Nb 0.750 0.214 0.375
Nb 0.750 0.286 0.875
Nb 0.786 0.750 0.625
Cd 0.000 0.000 0.500
Cd 0.000 0.500 0.750
Cd 0.500 0.000 0.250
Cd 0.500 0.500 0.000

=====

No. 4
! SrNbCd2 (PBE-GGA, optimized geometry); values from VASP
! **E_form**: 0.687 eV/atom
! **Total moment**: 0.79 μB per atom
! **Fermi-level density of states**: 3.2 states/eV/f.u.
&SYSTEM
  ibrav = 0, nat = 16, ntyp = 3
/
ATOMIC_SPECIES
Sr 87.62 Sr.upf
Nb 92.91 Nb.upf
Cd 112.41 Cd.upf
CELL_PARAMETERS angstrom
4.990 0.000 0.000
0.000 4.990 0.000
0.000 0.000 20.668
ATOMIC_POSITIONS crystal
Sr 0.000 0.000 0.000
Sr 0.000 0.500 0.250
Sr 0.500 0.000 0.750
Sr 0.500 0.500 0.500
Nb 0.000 0.000 0.500
Nb 0.000 0.500 0.750
Nb 0.500 0.000 0.250
Nb 0.500 0.500 0.000
Cd 0.138 0.250 0.625
Cd 0.250 0.638 0.875
Cd 0.250 0.862 0.375
Cd 0.362 0.250 0.125
Cd 0.638 0.750 0.125
Cd 0.750 0.138 0.375
Cd 0.750 0.362 0.875
Cd 0.862 0.750 0.625

=====

No. 5
! SrNbCd3 (PBE-GGA, optimized geometry); values from VASP
! **E_form**: 0.452 eV/atom
! **Total moment**: 0.46 μB per atom
! **Fermi-level density of states**: 4.4 states/eV/f.u.
! **ΔE to the lowest computed polymorph**: 0.000 eV/atom
&SYSTEM
  ibrav = 0, nat = 5, ntyp = 3
/
ATOMIC_SPECIES
Sr 87.62 Sr.upf
Nb 92.91 Nb.upf
Cd 112.41 Cd.upf
CELL_PARAMETERS angstrom
5.451 0.000 0.000
0.000 5.451 0.000
0.000 0.000 5.451
ATOMIC_POSITIONS crystal
Sr 0.000 0.000 0.000
Nb 0.500 0.500 0.500
Cd 0.000 0.500 0.500
Cd 0.500 0.000 0.500
Cd 0.500 0.500 0.000

=====

No. 6
! Sr2TaNbCd (PBE-GGA, optimized geometry); values from VASP
! **E_form**: 1.755 eV/atom
! **Total moment**: 0.65 μB per atom
! **Fermi-level density of states**: 12.7 states/eV/f.u.
&SYSTEM
  ibrav = 0, nat = 5, ntyp = 4
/
ATOMIC_SPECIES
Sr 87.62 Sr.upf
Ta 180.95 Ta.upf
Nb 92.91 Nb.upf
Cd 112.41 Cd.upf
CELL_PARAMETERS angstrom
5.722 0.000 0.000
0.000 5.722 0.000
0.000 0.000 5.368
ATOMIC_POSITIONS crystal
Sr 0.000 0.500 0.000
Sr 0.500 0.000 0.000
Ta 0.000 0.000 0.500
Nb 0.500 0.500 0.500
Cd 0.500 0.500 0.000

=====

No. 7
! Sr2NbCdW (PBE-GGA, optimized geometry); values from VASP
! **E_form**: 2.169 eV/atom
! **Total moment**: 0.06 μB per atom
! **Fermi-level density of states**: 8.3 states/eV/f.u.
&SYSTEM
  ibrav = 0, nat = 5, ntyp = 4
/
ATOMIC_SPECIES
Sr 87.62 Sr.upf
Nb 92.91 Nb.upf
Cd 112.41 Cd.upf
W 183.84 W.upf
CELL_PARAMETERS angstrom
5.597 0.000 0.000
0.000 5.597 0.000
0.000 0.000 5.295
ATOMIC_POSITIONS crystal
Sr 0.000 0.500 0.000
Sr 0.500 0.000 0.000
Nb 0.000 0.000 0.000
Cd 0.000 0.000 0.500
W 0.500 0.500 0.500

=====

No. 8
! Ta2NbCd2 (PBE-GGA, optimized geometry); values from VASP
! **E_form**: 0.677 eV/atom
! **Total moment**: 0.00 μB per atom
! **Fermi-level density of states**: 4.2 states/eV/f.u.
! **ΔE to the lowest computed polymorph**: 0.000 eV/atom
&SYSTEM
  ibrav = 0, nat = 10, ntyp = 3
/
ATOMIC_SPECIES
Ta 180.95 Ta.upf
Nb 92.91 Nb.upf
Cd 112.41 Cd.upf
CELL_PARAMETERS angstrom
7.725 0.000 0.000
0.000 7.725 0.000
0.000 0.000 3.268
ATOMIC_POSITIONS crystal
Ta 0.178 0.322 0.000
Ta 0.322 0.822 0.000
Ta 0.678 0.178 0.000
Ta 0.822 0.678 0.000
Nb 0.000 0.000 0.500
Nb 0.500 0.500 0.500
Cd 0.124 0.624 0.500
Cd 0.376 0.124 0.500
Cd 0.624 0.876 0.500
Cd 0.876 0.376 0.500

=====

No. 9
! Ta2NbCd (PBE-GGA, optimized geometry); values from VASP
! **E_form**: 0.160 eV/atom
! **Total moment**: 0.00 μB per atom
! **Fermi-level density of states**: 2.8 states/eV/f.u.
&SYSTEM
  ibrav = 0, nat = 4, ntyp = 3
/
ATOMIC_SPECIES
Ta 180.95 Ta.upf
Nb 92.91 Nb.upf
Cd 112.41 Cd.upf
CELL_PARAMETERS angstrom
3.405 0.000 0.000
0.000 3.405 0.000
0.000 0.000 6.543
ATOMIC_POSITIONS crystal
Ta 0.000 0.000 0.225
Ta 0.000 0.000 0.775
Nb 0.500 0.500 0.000
Cd 0.500 0.500 0.500

=====

No. 10
! Ta2NbCd2 (PBE-GGA, optimized geometry); values from VASP
! **E_form**: 0.709 eV/atom
! **Total moment**: 0.00 μB per atom
! **Fermi-level density of states**: 5.0 states/eV/f.u.
! **ΔE to the lowest computed polymorph**: 0.032 eV/atom
&SYSTEM
  ibrav = 0, nat = 10, ntyp = 3
/
ATOMIC_SPECIES
Ta 180.95 Ta.upf
Nb 92.91 Nb.upf
Cd 112.41 Cd.upf
CELL_PARAMETERS angstrom
3.860 0.000 0.000
0.000 3.860 0.000
0.000 0.000 13.662
ATOMIC_POSITIONS crystal
Ta 0.000 0.500 0.250
Ta 0.000 0.500 0.750
Ta 0.500 0.000 0.250
Ta 0.500 0.000 0.750
Nb 0.000 0.000 0.000
Nb 0.500 0.500 0.500
Cd 0.000 0.000 0.405
Cd 0.000 0.000 0.595
Cd 0.500 0.500 0.095
Cd 0.500 0.500 0.905

=====

No. 11
! Ta2NbCd (PBE-GGA, optimized geometry); values from VASP
! **E_form**: 0.743 eV/atom
! **Total moment**: 0.00 μB per atom
! **Fermi-level density of states**: 4.2 states/eV/f.u.
&SYSTEM
  ibrav = 0, nat = 16, ntyp = 3
/
ATOMIC_SPECIES
Ta 180.95 Ta.upf
Nb 92.91 Nb.upf
Cd 112.41 Cd.upf
CELL_PARAMETERS angstrom
4.000 0.000 0.000
0.000 4.000 0.000
0.000 0.000 20.231
ATOMIC_POSITIONS crystal
Ta 0.241 0.250 0.125
Ta 0.250 0.741 0.375
Ta 0.250 0.759 0.875
Ta 0.259 0.250 0.625
Ta 0.741 0.750 0.625
Ta 0.750 0.241 0.875
Ta 0.750 0.259 0.375
Ta 0.759 0.750 0.125
Nb 0.000 0.000 0.000
Nb 0.000 0.500 0.250
Nb 0.500 0.000 0.750
Nb 0.500 0.500 0.500
Cd 0.000 0.000 0.500
Cd 0.000 0.500 0.750
Cd 0.500 0.000 0.250
Cd 0.500 0.500 0.000

=====

No. 12
! TaNb3Cd (PBE-GGA, optimized geometry); values from VASP
! **E_form**: 1.313 eV/atom
! **Total moment**: 0.00 μB per atom
! **Fermi-level density of states**: 5.4 states/eV/f.u.
! **ΔE to the lowest computed polymorph**: 0.000 eV/atom
&SYSTEM
  ibrav = 0, nat = 5, ntyp = 3
/
ATOMIC_SPECIES
Ta 180.95 Ta.upf
Nb 92.91 Nb.upf
Cd 112.41 Cd.upf
CELL_PARAMETERS angstrom
4.922 0.000 0.000
0.000 4.922 0.000
0.000 0.000 4.922
ATOMIC_POSITIONS crystal
Ta 0.000 0.000 0.000
Nb 0.000 0.000 0.500
Nb 0.000 0.500 0.000
Nb 0.500 0.000 0.000
Cd 0.500 0.500 0.500

=====

No. 13
! TaNb3Cd (PBE-GGA, optimized geometry); values from VASP
! **E_form**: 2.098 eV/atom
! **Total moment**: 0.00 μB per atom
! **Fermi-level density of states**: 5.9 states/eV/f.u.
! **ΔE to the lowest computed polymorph**: 0.785 eV/atom
&SYSTEM
  ibrav = 0, nat = 5, ntyp = 3
/
ATOMIC_SPECIES
Ta 180.95 Ta.upf
Nb 92.91 Nb.upf
Cd 112.41 Cd.upf
CELL_PARAMETERS angstrom
4.920 0.000 0.000
0.000 4.920 0.000
0.000 0.000 4.920
ATOMIC_POSITIONS crystal
Ta 0.000 0.000 0.000
Nb 0.000 0.500 0.500
Nb 0.500 0.000 0.500
Nb 0.500 0.500 0.000
Cd 0.500 0.500 0.500

=====

No. 14
! TaTiNbCd (PBE-GGA, optimized geometry); values from VASP
! **E_form**: 0.197 eV/atom
! **Total moment**: 0.00 μB per atom
! **Fermi-level density of states**: 6.1 states/eV/f.u.
! **ΔE to the lowest computed polymorph**: 0.000 eV/atom
&SYSTEM
  ibrav = 0, nat = 16, ntyp = 4
/
ATOMIC_SPECIES
Ta 180.95 Ta.upf
Ti 47.87 Ti.upf
Nb 92.91 Nb.upf
Cd 112.41 Cd.upf
CELL_PARAMETERS angstrom
6.651 0.000 0.000
0.000 6.651 0.000
0.000 0.000 6.651
ATOMIC_POSITIONS crystal
Ta 0.000 0.000 0.000
Ta 0.000 0.500 0.500
Ta 0.500 0.000 0.500
Ta 0.500 0.500 0.000
Ti 0.250 0.250 0.250
Ti 0.250 0.750 0.750
Ti 0.750 0.250 0.750
Ti 0.750 0.750 0.250
Nb 0.250 0.250 0.750
Nb 0.250 0.750 0.250
Nb 0.750 0.250 0.250
Nb 0.750 0.750 0.750
Cd 0.000 0.000 0.500
Cd 0.000 0.500 0.000
Cd 0.500 0.000 0.000
Cd 0.500 0.500 0.500

=====

No. 15
! TaTiNbCd (PBE-GGA, optimized geometry); values from VASP
! **E_form**: 0.333 eV/atom
! **Total moment**: 0.00 μB per atom
! **Fermi-level density of states**: 2.8 states/eV/f.u.
! **ΔE to the lowest computed polymorph**: 0.136 eV/atom
&SYSTEM
  ibrav = 0, nat = 8, ntyp = 4
/
ATOMIC_SPECIES
Ta 180.95 Ta.upf
Ti 47.87 Ti.upf
Nb 92.91 Nb.upf
Cd 112.41 Cd.upf
CELL_PARAMETERS angstrom
3.301 0.000 0.000
0.000 3.301 0.000
0.000 0.000 15.333
ATOMIC_POSITIONS crystal
Ta 0.000 0.000 0.000
Ta 0.500 0.500 0.500
Ti 0.000 0.000 0.192
Ti 0.500 0.500 0.692
Nb 0.000 0.000 0.596
Nb 0.500 0.500 0.096
Cd 0.000 0.000 0.812
Cd 0.500 0.500 0.312

=====

No. 16
! Nb2CdTc2 (PBE-GGA, optimized geometry); values from VASP
! **E_form**: 0.249 eV/atom
! **Total moment**: 0.00 μB per atom
! **Fermi-level density of states**: 3.9 states/eV/f.u.
! **ΔE to the lowest computed polymorph**: 0.101 eV/atom
&SYSTEM
  ibrav = 0, nat = 10, ntyp = 3
/
ATOMIC_SPECIES
Nb 92.91 Nb.upf
Cd 112.41 Cd.upf
Tc 98.00 Tc.upf
CELL_PARAMETERS angstrom
7.730 0.000 0.000
0.000 7.730 0.000
0.000 0.000 3.015
ATOMIC_POSITIONS crystal
Nb 0.141 0.359 0.000
Nb 0.359 0.859 0.000
Nb 0.641 0.141 0.000
Nb 0.859 0.641 0.000
Cd 0.000 0.000 0.000
Cd 0.500 0.500 0.000
Tc 0.156 0.656 0.500
Tc 0.344 0.156 0.500
Tc 0.656 0.844 0.500
Tc 0.844 0.344 0.500

=====

No. 17
! NbCd3Tc (PBE-GGA, optimized geometry); values from VASP
! **E_form**: 1.399 eV/atom
! **Total moment**: 0.44 μB per atom
! **Fermi-level density of states**: 2.8 states/eV/f.u.
! **ΔE to the lowest computed polymorph**: 0.000 eV/atom
&SYSTEM
  ibrav = 0, nat = 5, ntyp = 3
/
ATOMIC_SPECIES
Nb 92.91 Nb.upf
Cd 112.41 Cd.upf
Tc 98.00 Tc.upf
CELL_PARAMETERS angstrom
5.124 0.000 0.000
0.000 5.124 0.000
0.000 0.000 5.124
ATOMIC_POSITIONS crystal
Nb 0.000 0.000 0.000
Cd 0.000 0.500 0.500
Cd 0.500 0.000 0.500
Cd 0.500 0.500 0.000
Tc 0.500 0.500 0.500

=====

No. 18
! NbCdTc3 (PBE-GGA, optimized geometry); values from VASP
! **E_form**: 2.454 eV/atom
! **Total moment**: 0.01 μB per atom
! **Fermi-level density of states**: 10.4 states/eV/f.u.
! **ΔE to the lowest computed polymorph**: 0.858 eV/atom
&SYSTEM
  ibrav = 0, nat = 5, ntyp = 3
/
ATOMIC_SPECIES
Nb 92.91 Nb.upf
Cd 112.41 Cd.upf
Tc 98.00 Tc.upf
CELL_PARAMETERS angstrom
4.725 0.000 0.000
0.000 4.725 0.000
0.000 0.000 4.725
ATOMIC_POSITIONS crystal
Nb 0.000 0.000 0.000
Cd 0.500 0.500 0.500
Tc 0.000 0.500 0.500
Tc 0.500 0.000 0.500
Tc 0.500 0.500 0.000

=====

No. 19
! NbCdTc3 (PBE-GGA, optimized geometry); values from VASP
! **E_form**: 1.596 eV/atom
! **Total moment**: 0.54 μB per atom
! **Fermi-level density of states**: 6.0 states/eV/f.u.
! **ΔE to the lowest computed polymorph**: 0.000 eV/atom
&SYSTEM
  ibrav = 0, nat = 5, ntyp = 3
/
ATOMIC_SPECIES
Nb 92.91 Nb.upf
Cd 112.41 Cd.upf
Tc 98.00 Tc.upf
CELL_PARAMETERS angstrom
4.759 0.000 0.000
0.000 4.759 0.000
0.000 0.000 4.759
ATOMIC_POSITIONS crystal
Nb 0.000 0.000 0.000
Cd 0.500 0.500 0.500
Tc 0.000 0.000 0.500
Tc 0.000 0.500 0.000
Tc 0.500 0.000 0.000

=====

No. 20
! Nb3CdTc (PBE-GGA, optimized geometry); values from VASP
! **E_form**: 0.931 eV/atom
! **Total moment**: 0.00 μB per atom
! **Fermi-level density of states**: 4.0 states/eV/f.u.
! **ΔE to the lowest computed polymorph**: 0.000 eV/atom
&SYSTEM
  ibrav = 0, nat = 5, ntyp = 3
/
ATOMIC_SPECIES
Nb 92.91 Nb.upf
Cd 112.41 Cd.upf
Tc 98.00 Tc.upf
CELL_PARAMETERS angstrom
4.834 0.000 0.000
0.000 4.834 0.000
0.000 0.000 4.834
ATOMIC_POSITIONS crystal
Nb 0.000 0.000 0.500
Nb 0.000 0.500 0.000
Nb 0.500 0.000 0.000
Cd 0.500 0.500 0.500
Tc 0.000 0.000 0.000